5
Lattice="-3.2382 2.6845 -0.2198 -0.9556 -1.4663 -3.8312 -2.9528 -3.3952 2.0360" Properties=species:S:1:pos:R:3 comment="CaTeOF2 GGA-PBE relaxed" formation_energy_uncorrected_ev_per_atom=-1.755 pbc="T T T"
O -1.4764 -1.6976 1.0180
Ca 0.0000 0.0000 0.0000
F -1.6191 1.3422 -0.1099
F -0.4778 -0.7332 -1.9156
Te -3.5733 -1.0885 -1.0075